*a*
PBE InNiHg3, optimized geometry; space-group type = Pm-3m (221); DOS(E_F) = 12.637 states/eV/f.u.
1.0
5.613 0.000 0.000
0.000 5.613 0.000
0.000 0.000 5.613
In Ni Hg
1 1 3
direct
0.000 0.000 0.000 In
0.500 0.500 0.500 Ni
0.000 0.000 0.500 Hg
0.000 0.500 0.000 Hg
0.500 0.000 0.000 Hg

*b*
PBE InNiHg3, optimized geometry; space-group type = Pm-3m (221); DOS(E_F) = 2.576 states/eV/f.u.
1.0
5.079 0.000 0.000
0.000 5.079 0.000
0.000 0.000 5.079
In Ni Hg
1 1 3
direct
0.000 0.000 0.000 In
0.500 0.500 0.500 Ni
0.000 0.500 0.500 Hg
0.500 0.000 0.500 Hg
0.500 0.500 0.000 Hg

Relative energy of each structure, in meV per atom: *a* 709; *b* 0.

*a*
PBE InNi2Hg2, optimized geometry; space-group type = I4/mmm (139); DOS(E_F) = 5.607 states/eV/f.u.
1.0
3.378 0.000 0.000
0.000 3.378 0.000
0.000 0.000 17.537
In Ni Hg
2 4 4
direct
0.000 0.000 0.000 In
0.500 0.500 0.500 In
0.000 0.500 0.250 Ni
0.000 0.500 0.750 Ni
0.500 0.000 0.250 Ni
0.500 0.000 0.750 Ni
0.000 0.000 0.372 Hg
0.000 0.000 0.628 Hg
0.500 0.500 0.128 Hg
0.500 0.500 0.872 Hg

*b*
PBE InNi2Hg2, optimized geometry; space-group type = I4/mmm (139); DOS(E_F) = 2.375 states/eV/f.u.
1.0
3.993 0.000 0.000
0.000 3.993 0.000
0.000 0.000 12.131
In Ni Hg
2 4 4
direct
0.000 0.000 0.000 In
0.500 0.500 0.500 In
0.000 0.000 0.406 Ni
0.000 0.000 0.594 Ni
0.500 0.500 0.094 Ni
0.500 0.500 0.906 Ni
0.000 0.500 0.250 Hg
0.000 0.500 0.750 Hg
0.500 0.000 0.250 Hg
0.500 0.000 0.750 Hg

*c*
PBE InNi2Hg2, optimized geometry; space-group type = P4/mbm (127); DOS(E_F) = 2.149 states/eV/f.u.
1.0
6.772 0.000 0.000
0.000 6.772 0.000
0.000 0.000 3.852
In Ni Hg
2 4 4
direct
0.000 0.000 0.000 In
0.500 0.500 0.000 In
0.134 0.366 0.000 Ni
0.366 0.866 0.000 Ni
0.634 0.134 0.000 Ni
0.866 0.634 0.000 Ni
0.162 0.662 0.500 Hg
0.338 0.162 0.500 Hg
0.662 0.838 0.500 Hg
0.838 0.338 0.500 Hg

Relative energy of each structure, in meV per atom: *a* 161; *b* 216; *c* 0.

*a*
PBE In2NiHg2, optimized geometry; space-group type = P4/mbm (127); DOS(E_F) = 1.516 states/eV/f.u.
1.0
6.928 0.000 0.000
0.000 6.928 0.000
0.000 0.000 5.322
In Ni Hg
4 2 4
direct
0.185 0.315 0.000 In
0.315 0.815 0.000 In
0.685 0.185 0.000 In
0.815 0.685 0.000 In
0.000 0.000 0.000 Ni
0.500 0.500 0.000 Ni
0.160 0.660 0.500 Hg
0.340 0.160 0.500 Hg
0.660 0.840 0.500 Hg
0.840 0.340 0.500 Hg

*b*
PBE In2NiHg2, optimized geometry; space-group type = P4/mbm (127); DOS(E_F) = 3.660 states/eV/f.u.
1.0
6.977 0.000 0.000
0.000 6.977 0.000
0.000 0.000 4.920
In Ni Hg
4 2 4
direct
0.167 0.333 0.000 In
0.333 0.833 0.000 In
0.667 0.167 0.000 In
0.833 0.667 0.000 In
0.000 0.000 0.500 Ni
0.500 0.500 0.500 Ni
0.159 0.659 0.500 Hg
0.341 0.159 0.500 Hg
0.659 0.841 0.500 Hg
0.841 0.341 0.500 Hg

Relative energy of each structure, in meV per atom: *a* 0; *b* 72.

*a*
PBE SrIn2NiHg, optimized geometry; space-group type = P4/mmm (123); DOS(E_F) = 1.948 states/eV/f.u.
1.0
4.981 0.000 0.000
0.000 4.981 0.000
0.000 0.000 5.705
Sr In Ni Hg
1 2 1 1
direct
0.000 0.000 0.000 Sr
0.000 0.500 0.500 In
0.500 0.000 0.500 In
0.000 0.000 0.500 Ni
0.500 0.500 0.000 Hg

*b*
PBE SrIn2NiHg, optimized geometry; space-group type = P4/mmm (123); DOS(E_F) = 3.612 states/eV/f.u.
1.0
5.007 0.000 0.000
0.000 5.007 0.000
0.000 0.000 5.160
Sr In Ni Hg
1 2 1 1
direct
0.000 0.000 0.000 Sr
0.000 0.500 0.500 In
0.500 0.000 0.500 In
0.500 0.500 0.500 Ni
0.500 0.500 0.000 Hg

Relative energy of each structure, in meV per atom: *a* 9; *b* 0.

*a*
PBE TlIn2NiHg, optimized geometry; space-group type = P4/mmm (123); DOS(E_F) = 2.283 states/eV/f.u.
1.0
4.999 0.000 0.000
0.000 4.999 0.000
0.000 0.000 5.147
Tl In Ni Hg
1 2 1 1
direct
0.000 0.000 0.000 Tl
0.000 0.500 0.500 In
0.500 0.000 0.500 In
0.500 0.500 0.500 Ni
0.500 0.500 0.000 Hg

*b*
PBE TlIn2NiHg, optimized geometry; space-group type = P4/mmm (123); DOS(E_F) = 1.679 states/eV/f.u.
1.0
5.041 0.000 0.000
0.000 5.041 0.000
0.000 0.000 5.122
Tl In Ni Hg
1 2 1 1
direct
0.000 0.000 0.000 Tl
0.000 0.500 0.500 In
0.500 0.000 0.500 In
0.000 0.000 0.500 Ni
0.500 0.500 0.000 Hg

Relative energy of each structure, in meV per atom: *a* 10; *b* 0.

*a*
PBE NpInHg, optimized geometry; space-group type = Pnma (62); DOS(E_F) = 3.632 states/eV/f.u.
1.0
8.535 0.000 0.000
0.000 3.441 0.000
0.000 0.000 9.505
Np In Hg
4 4 4
direct
0.003 0.250 0.086 Np
0.497 0.750 0.586 Np
0.503 0.250 0.414 Np
0.997 0.750 0.914 Np
0.163 0.250 0.614 In
0.337 0.750 0.114 In
0.663 0.250 0.886 In
0.837 0.750 0.386 In
0.168 0.750 0.363 Hg
0.332 0.250 0.863 Hg
0.668 0.750 0.137 Hg
0.832 0.250 0.637 Hg

*b*
PBE NpInHg, optimized geometry; space-group type = I4mm (107); DOS(E_F) = 5.990 states/eV/f.u.
1.0
3.233 0.000 0.000
0.000 3.233 0.000
0.000 0.000 14.020
Np In Hg
2 2 2
direct
0.000 0.000 0.000 Np
0.500 0.500 0.500 Np
0.000 0.000 0.328 In
0.500 0.500 0.828 In
0.000 0.000 0.666 Hg
0.500 0.500 0.166 Hg

*c*
PBE NpInHg, optimized geometry; space-group type = P3m1 (156); DOS(E_F) = 3.726 states/eV/f.u.
1.0
3.113 0.000 0.000
-1.556 2.696 0.000
0.000 0.000 8.352
Np In Hg
1 1 1
direct
0.000 0.000 0.000 Np
0.667 0.333 0.339 In
0.333 0.667 0.667 Hg

Relative energy of each structure, in meV per atom: *a* 0; *b* 71; *c* 134.

*a*
PBE NpIn2Hg, optimized geometry; space-group type = P4/mmm (123); DOS(E_F) = 5.882 states/eV/f.u.
1.0
3.154 0.000 0.000
0.000 3.154 0.000
0.000 0.000 9.920
Np In Hg
1 2 1
direct
0.000 0.000 0.000 Np
0.500 0.500 0.249 In
0.500 0.500 0.751 In
0.000 0.000 0.500 Hg

*b*
PBE NpIn2Hg, optimized geometry; space-group type = P4/mmm (123); DOS(E_F) = 10.901 states/eV/f.u.
1.0
4.691 0.000 0.000
0.000 4.691 0.000
0.000 0.000 4.552
Np In Hg
1 2 1
direct
0.000 0.000 0.000 Np
0.000 0.500 0.500 In
0.500 0.000 0.500 In
0.500 0.500 0.000 Hg

*c*
PBE NpIn2Hg, optimized geometry; space-group type = Fm-3m (225); DOS(E_F) = 10.738 states/eV/f.u.
1.0
7.411 0.000 0.000
0.000 7.411 0.000
0.000 0.000 7.411
Np In Hg
4 8 4
direct
0.000 0.000 0.000 Np
0.000 0.500 0.500 Np
0.500 0.000 0.500 Np
0.500 0.500 0.000 Np
0.250 0.250 0.250 In
0.250 0.250 0.750 In
0.250 0.750 0.250 In
0.250 0.750 0.750 In
0.750 0.250 0.250 In
0.750 0.250 0.750 In
0.750 0.750 0.250 In
0.750 0.750 0.750 In
0.000 0.000 0.500 Hg
0.000 0.500 0.000 Hg
0.500 0.000 0.000 Hg
0.500 0.500 0.500 Hg

Relative energy of each structure, in meV per atom: *a* 74; *b* 0; *c* 162.

*a*
PBE NpInHgSb, optimized geometry; space-group type = F-43m (216); DOS(E_F) = 15.694 states/eV/f.u.
1.0
7.486 0.000 0.000
0.000 7.486 0.000
0.000 0.000 7.486
Np In Hg Sb
4 4 4 4
direct
0.000 0.000 0.000 Np
0.000 0.500 0.500 Np
0.500 0.000 0.500 Np
0.500 0.500 0.000 Np
0.000 0.000 0.500 In
0.000 0.500 0.000 In
0.500 0.000 0.000 In
0.500 0.500 0.500 In
0.250 0.250 0.250 Hg
0.250 0.750 0.750 Hg
0.750 0.250 0.750 Hg
0.750 0.750 0.250 Hg
0.250 0.250 0.750 Sb
0.250 0.750 0.250 Sb
0.750 0.250 0.250 Sb
0.750 0.750 0.750 Sb

*b*
PBE NpInHgSb, optimized geometry; space-group type = Pmmm (47); DOS(E_F) = 8.820 states/eV/f.u.
1.0
4.415 0.000 0.000
0.000 4.490 0.000
0.000 0.000 5.097
Np In Hg Sb
1 1 1 1
direct
0.000 0.000 0.000 Np
0.000 0.500 0.500 In
0.500 0.000 0.500 Hg
0.500 0.500 0.000 Sb

Relative energy of each structure, in meV per atom: *a* 201; *b* 0.